A plane-wave DFT calculation with PBE was carried out for a geometry-optimized Dy2In2Hg structure.

Energy ... -3.431 eV per atom
Energy of formation ... -0.434 eV per atom
E above lowest polymorph ... 0 meV per atom

Unit cell a=3.4482 b=8.1297 c=8.1297 alpha=33.92 beta=90.00 gamma=90.00
Positions (direct):
Dy  0.0000  0.0000  0.0000
Dy  0.0000  0.2249  0.2249
In  0.5000  0.6131  0.6131
In  0.5000  0.8120  0.8120
Hg  0.5000  0.4164  0.4164

A plane-wave DFT calculation with PBE was carried out for a geometry-optimized BaErTlIn structure.

Energy ... -3.165 eV per atom
Energy of formation ... -0.267 eV per atom

Unit cell a=5.6873 b=5.6873 c=5.6873 alpha=60.00 beta=60.00 gamma=60.00
Positions (direct):
Ba  0.0000  0.0000  0.0000
Er  0.5000  0.5000  0.5000
Tl  0.2500  0.2500  0.2500
In  0.7500  0.7500  0.7500

A plane-wave DFT calculation with PBE was carried out for a geometry-optimized Ca2CdW structure.

Energy ... -3.847 eV per atom
Energy of formation ... 0.621 eV per atom

Unit cell a=3.0093 b=5.2858 c=5.9825 alpha=90.00 beta=90.00 gamma=90.00
Positions (direct):
Ca  0.0000  0.0000  0.0000
Ca  0.0000  0.5000  0.3350
Cd  0.5000  0.5000  0.7949
W  0.5000  0.0000  0.5185

A plane-wave DFT calculation with PBE was carried out for a geometry-optimized PrDy3 structure.

Energy ... -4.629 eV per atom
Energy of formation ... 0.017 eV per atom
E above lowest polymorph ... 0 meV per atom

Unit cell a=7.2831 b=7.2831 c=5.7424 alpha=90.00 beta=90.00 gamma=120.00
Positions (direct):
Pr  0.3333  0.6667  0.2500
Pr  0.6667  0.3333  0.7500
Dy  0.1656  0.3313  0.7500
Dy  0.1656  0.8344  0.7500
Dy  0.3313  0.1656  0.2500
Dy  0.6687  0.8344  0.7500
Dy  0.8344  0.1656  0.2500
Dy  0.8344  0.6687  0.2500

Which of these has the highest energy of formation? Ca2CdW